Ga2SnGe | PBE-GGA | optimized geometry

abc: 4.403 4.403 4.454
angles: 90.00 90.00 90.00
Space group P4/mmm (No. 123)
Unique sites:
Ga: 0.000 0.500 0.000 x2
Sn: 0.000 0.000 0.500 x1
Ge: 0.500 0.500 0.500 x1

Summary:
Energy of formation from the pure elements, eV per formula unit: 0.45
Electronic total energy, eV per cell: -14.22

***

CuTe2PPt | PBE-GGA | optimized geometry

abc: 5.612 5.612 4.316
angles: 90.00 90.00 90.00
Space group P4/mmm (No. 123)
Unique sites:
Cu: 0.000 0.000 0.000 x1
Te: 0.000 0.500 0.500 x2
P: 0.500 0.500 0.000 x1
Pt: 0.500 0.500 0.500 x1

Summary:
Electronic total energy, eV per cell: -18.72
Formation energy without anion corrections, eV per atom: 0.62

***

LiZrSn2 | PBE-GGA | optimized geometry

abc: 7.552 7.552 6.157
angles: 90.00 90.00 90.00
Space group I-42d (No. 122)
Unique sites:
Li: 0.000 0.000 0.000 x4
Zr: 0.000 0.000 0.500 x4
Sn: 0.212 0.250 0.125 x8

Summary:
Excess energy over the best structure of this formula in the dataset, kJ per mole of atoms: 22.2
Energy of formation from the pure elements, eV per formula unit: -0.45
Electronic total energy, eV per cell: -75.67

***

HgC3 | PBE-GGA | optimized geometry

abc: 3.316 3.316 4.618
angles: 90.00 90.00 90.00
Space group P4/mmm (No. 123)
Unique sites:
Hg: 0.000 0.000 0.000 x1
C: 0.000 0.000 0.500 x1
C: 0.500 0.500 0.358 x2

Summary:
Excess energy over the best structure of this formula in the dataset, kJ per mole of atoms: 183.2
Energy of formation from the pure elements, eV per formula unit: 10.56
Electronic total energy, eV per cell: -17.42

***

TaCu2Pd6 | PBE-GGA | optimized geometry

abc: 12.420 9.278 4.804
angles: 90.00 98.96 90.00
Space group C2/c (No. 15)
Unique sites:
Ta: 0.000 0.133 0.250 x4
Cu: 0.166 0.378 0.088 x8
Pd: 0.053 0.373 0.525 x8
Pd: 0.112 0.121 0.806 x8
Pd: 0.224 0.129 0.347 x8

Summary:
Energy of formation from the pure elements, eV per formula unit: -1.74
Electronic total energy, eV per cell: -211.76

***

Li2Sn2S3O12 | PBE-GGA | optimized geometry

abc: 13.858 8.914 9.170
angles: 90.00 90.00 90.00
Space group Pbcn (No. 60)
Unique sites:
Li: 0.186 0.196 0.230 x8
Sn: 0.086 0.242 0.561 x8
S: 0.000 0.414 0.250 x4
S: 0.186 0.102 0.945 x8
O: 0.050 0.497 0.639 x8
O: 0.074 0.314 0.323 x8
O: 0.099 0.149 0.027 x8
O: 0.180 0.063 0.411 x8
O: 0.200 0.184 0.807 x8
O: 0.230 0.371 0.548 x8

Summary:
Electronic total energy, eV per cell: -452.85
Formation energy without anion corrections, eV per atom: -1.55

***

Na3CdI | PBE-GGA | optimized geometry

abc: 5.884 5.884 5.884
angles: 90.00 90.00 90.00
Space group Pm-3m (No. 221)
Unique sites:
Na: 0.000 0.000 0.500 x3
Cd: 0.000 0.000 0.000 x1
I: 0.500 0.500 0.500 x1

Summary:
Excess energy over the best structure of this formula in the dataset, kJ per mole of atoms: 8.3
Electronic total energy, eV per cell: -7.10
Formation energy without anion corrections, eV per atom: -0.13

***

CeZr6Sc | PBE-GGA | optimized geometry

abc: 5.216 6.754 10.920
angles: 90.00 90.00 90.00
Space group Amm2 (No. 38)
Unique sites:
Ce: 0.000 0.000 0.000 x2
Zr: 0.000 0.227 0.717 x4
Zr: 0.500 0.000 0.275 x2
Zr: 0.500 0.000 0.800 x2
Zr: 0.500 0.225 0.545 x4
Sc: 0.000 0.000 0.456 x2

Summary:
Energy of formation from the pure elements, eV per formula unit: 0.41
Electronic total energy, eV per cell: -126.28

***

AlSb | PBE-GGA | optimized geometry

abc: 3.803 15.193 3.819
angles: 90.00 90.00 90.00
Space group Cmcm (No. 63)
Unique sites:
Al: 0.000 0.193 0.250 x4
Sb: 0.000 0.375 0.250 x4

Summary:
Electronic total energy, eV per cell: -31.02
Formation energy without anion corrections, eV per atom: 0.05

***

Ge2MoS6 | PBE-GGA | optimized geometry

abc: 11.956 10.802 6.254
angles: 90.00 100.91 90.00
Space group C2/c (No. 15)
Unique sites:
Ge: 0.201 0.082 0.343 x8
Mo: 0.000 0.375 0.250 x4
S: 0.102 0.422 0.611 x8
S: 0.128 0.085 0.649 x8
S: 0.129 0.254 0.136 x8

Summary:
Electronic total energy, eV per cell: -188.79
Formation energy without anion corrections, eV per atom: -0.26

***

Nd6SiSn2Te3 | PBE-GGA | optimized geometry

abc: 19.622 4.459 9.043
angles: 90.00 103.94 90.00
Space group C2/m (No. 12)
Unique sites:
Nd: 0.001 0.000 0.229 x4
Nd: 0.158 0.500 0.083 x4
Nd: 0.168 0.500 0.579 x4
Si: 0.000 0.500 0.000 x2
Sn: 0.166 0.000 0.333 x4
Te: 0.000 0.500 0.500 x2
Te: 0.168 0.000 0.835 x4

Summary:
Electronic total energy, eV per cell: -129.63
Formation energy without anion corrections, eV per atom: -1.11

***

Ac6Al2Sn | PBE-GGA | optimized geometry

abc: 10.783 10.871 11.512
angles: 90.00 90.00 90.00
Space group Immm (No. 71)
Unique sites:
Ac: 0.000 0.200 0.241 x8
Ac: 0.207 0.500 0.175 x8
Ac: 0.228 0.320 0.500 x8
Al: 0.000 0.371 0.000 x4
Al: 0.000 0.500 0.385 x4
Sn: 0.000 0.000 0.000 x2
Sn: 0.000 0.000 0.500 x2

Summary:
Energy of formation from the pure elements, eV per formula unit: -2.49
Electronic total energy, eV per cell: -154.53

***

CsZnBIr2 | PBE-GGA | optimized geometry

abc: 5.096 5.096 5.873
angles: 90.00 90.00 90.00
Space group P4/mmm (No. 123)
Unique sites:
Cs: 0.000 0.000 0.000 x1
Zn: 0.000 0.000 0.500 x1
B: 0.500 0.500 0.500 x1
Ir: 0.000 0.500 0.000 x2

Summary:
Energy of formation from the pure elements, eV per formula unit: 16.74
Electronic total energy, eV per cell: -9.78

***

Tb2Pm7Y2 | PBE-GGA | optimized geometry

abc: 11.594 11.453 6.102
angles: 90.00 112.40 90.00
Space group C2/m (No. 12)
Unique sites:
Tb: 0.080 0.000 0.300 x4
Pm: 0.000 0.500 0.500 x2
Pm: 0.180 0.270 0.675 x8
Pm: 0.233 0.500 0.096 x4
Y: 0.000 0.282 0.000 x4

Summary:
Excess energy over the best structure of this formula in the dataset, kJ per mole of atoms: 0.0
Energy of formation from the pure elements, eV per formula unit: 1.57
Electronic total energy, eV per cell: -107.74

***

TeAuIO2 | PBE-GGA | optimized geometry

abc: 4.266 4.266 5.656
angles: 90.00 90.00 90.00
Space group P4/mmm (No. 123)
Unique sites:
Te: 0.000 0.000 0.000 x1
Au: 0.500 0.500 0.500 x1
I: 0.500 0.500 0.000 x1
O: 0.000 0.500 0.500 x2

Summary:
Excess energy over the best structure of this formula in the dataset, kJ per mole of atoms: 82.2
Electronic total energy, eV per cell: -14.66
Formation energy without anion corrections, eV per atom: 0.65

***

RhAuF2 | PBE-GGA | optimized geometry

abc: 2.7501 2.7501 29.3101
angles: 90.00 90.00 120.00
Space group R-3m (No. 166, hexagonal axes)
Unique sites:
Rh: 0.0000 0.0000 0.0000 x3
Au: 0.0000 0.0000 0.5000 x3
F: 0.0000 0.0000 0.0644 x6

Summary:
Excess energy over the best structure of this formula in the dataset, kJ per mole of atoms: 0.0
Electronic total energy, eV per cell: -50.65
Formation energy without anion corrections, eV per atom: -0.63

***

Zr3TiIn3S8 | PBE-GGA | optimized geometry

abc: 12.436 7.178 8.893
angles: 90.00 117.95 90.00
Space group C2/m (No. 12)
Unique sites:
Zr: 0.000 0.000 0.000 x2
Zr: 0.250 0.250 0.000 x4
Ti: 0.000 0.500 0.000 x2
In: 0.000 0.500 0.500 x2
In: 0.250 0.250 0.500 x4
S: 0.016 0.259 0.808 x8
S: 0.225 0.500 0.192 x4
S: 0.233 0.000 0.198 x4

Summary:
Electronic total energy, eV per cell: -183.92
Formation energy without anion corrections, eV per atom: -1.15

***

LiTiB2Cl | PBE-GGA | optimized geometry

abc: 4.259 4.259 4.881
angles: 90.00 90.00 90.00
Space group P4/mmm (No. 123)
Unique sites:
Li: 0.000 0.000 0.000 x1
Ti: 0.500 0.500 0.500 x1
B: 0.000 0.500 0.500 x2
Cl: 0.500 0.500 0.000 x1

Summary:
Electronic total energy, eV per cell: -21.78
Formation energy without anion corrections, eV per atom: 0.65

***

BaSrIr3 | PBE-GGA | optimized geometry

abc: 5.186 5.186 5.186
angles: 90.00 90.00 90.00
Space group Pm-3m (No. 221)
Unique sites:
Ba: 0.000 0.000 0.000 x1
Sr: 0.500 0.500 0.500 x1
Ir: 0.000 0.500 0.500 x3

Summary:
Excess energy over the best structure of this formula in the dataset, kJ per mole of atoms: 0.0
Energy of formation from the pure elements, eV per formula unit: 8.45
Electronic total energy, eV per cell: -21.74

***

Sr3InO | PBE-GGA | optimized geometry

abc: 13.974 13.974 13.974
angles: 90.00 90.00 90.00
Space group Fd-3m (No. 227, origin choice 2)
Unique sites:
Sr: 0.067 0.375 0.375 x48
In: 0.000 0.000 0.500 x16
O: 0.000 0.000 0.000 x16

Summary:
Electronic total energy, eV per cell: -277.54
Formation energy without anion corrections, eV per atom: -0.92